1.
A geometry-optimized Cs3PbCl6 structure. Source: Alexandria, functional GGA-PBE.

a = 8.443 Å, b = 8.443 Å, c = 8.442 Å
α = 60.00°, β = 60.00°, γ = 90.00°
Fractional coordinates of all 10 atoms:
Pb (0.000, 0.000, 0.000)
Cs (0.500, 0.500, 0.000)
Cs (0.750, 0.250, 0.500)
Cs (0.250, 0.750, 0.500)
Cl (0.228, 0.228, 0.544)
Cl (0.772, 0.772, 0.456)
Cl (0.228, 0.228, 0.000)
Cl (0.772, 0.772, 0.000)
Cl (0.772, 0.228, 0.000)
Cl (0.228, 0.772, 0.000)

Computed properties:
E: -3.240 eV/atom
Total moment: 0.004 μB per cell
Formation energy (no corrections): -15.1 eV per formula unit

---

2.
A geometry-optimized CsPbCl3 structure. Source: Alexandria, functional GGA-PBE.

a = 5.732 Å, b = 5.727 Å, c = 5.727 Å
α = 90.00°, β = 90.00°, γ = 90.00°
Fractional coordinates of all 5 atoms:
Pb (0.488, 0.500, 0.498)
Cs (0.998, 0.998, 0.995)
Cl (0.482, 0.000, 0.495)
Cl (0.988, 0.504, 0.504)
Cl (0.484, 0.498, 0.998)

Computed properties:
E: -3.542 eV/atom
Total moment: 0.000 μB per cell
Formation energy (no corrections): -7.6 eV per formula unit

---

3.
A geometry-optimized CsPb2Cl5 structure. Source: Alexandria, functional GGA-PBE.

a = 5.715 Å, b = 7.957 Å, c = 15.678 Å
α = 90.00°, β = 90.00°, γ = 111.05°
Fractional coordinates of all 16 atoms:
Cs (0.788, 0.575, 0.750)
Cs (0.212, 0.425, 0.250)
Pb (0.866, 0.732, 0.440)
Pb (0.866, 0.732, 0.060)
Pb (0.134, 0.268, 0.560)
Pb (0.134, 0.268, 0.940)
Cl (0.951, 0.903, 0.898)
Cl (0.951, 0.903, 0.602)
Cl (0.317, 0.635, 0.454)
Cl (0.317, 0.635, 0.046)
Cl (0.833, 0.666, 0.250)
Cl (0.167, 0.334, 0.750)
Cl (0.683, 0.365, 0.546)
Cl (0.683, 0.365, 0.954)
Cl (0.049, 0.097, 0.102)
Cl (0.049, 0.097, 0.398)

Computed properties:
E: -3.548 eV/atom
Total moment: 0.000 μB per cell
Formation energy (no corrections): -10.9 eV per formula unit

---

4.
A geometry-optimized CsPb2Cl4 structure. Source: Alexandria, functional GGA-PBE.

a = 8.034 Å, b = 8.284 Å, c = 9.224 Å
α = 116.26°, β = 109.71°, γ = 97.04°
Fractional coordinates of all 14 atoms:
Cs (0.218, 0.707, 0.503)
Cs (0.956, 0.938, 0.976)
Pb (0.557, 0.414, 0.750)
Pb (0.646, 0.851, 0.352)
Pb (0.570, 0.266, 0.181)
Pb (0.159, 0.430, 0.767)
Cl (0.914, 0.248, 0.353)
Cl (0.305, 0.499, 0.121)
Cl (0.666, 0.630, 0.519)
Cl (0.013, 0.050, 0.661)
Cl (0.400, 0.138, 0.365)
Cl (0.587, 0.123, 0.813)
Cl (0.461, 0.838, 0.979)
Cl (0.799, 0.618, 0.161)

Computed properties:
E: -3.470 eV/atom
Total moment: 0.000 μB per cell
Formation energy (no corrections): -8.6 eV per formula unit

---

5.
A geometry-optimized Cs2PbCl7 structure. Source: Alexandria, functional GGA-PBE.

a = 8.439 Å, b = 8.439 Å, c = 7.835 Å
α = 57.41°, β = 57.41°, γ = 90.00°
Fractional coordinates of all 10 atoms:
Pb (0.000, 0.000, 0.000)
Cs (0.750, 0.250, 0.500)
Cs (0.250, 0.750, 0.500)
Cl (0.500, 0.500, 0.000)
Cl (0.270, 0.270, 0.459)
Cl (0.730, 0.730, 0.541)
Cl (0.222, 0.222, 0.000)
Cl (0.778, 0.778, 0.000)
Cl (0.778, 0.222, 0.000)
Cl (0.222, 0.778, 0.000)

Computed properties:
E: -2.938 eV/atom
Total moment: 0.000 μB per cell
Formation energy (no corrections): -11.0 eV per formula unit

---

6.
A geometry-optimized Cs2PbCl structure. Source: Alexandria, functional GGA-PBE.

a = 4.358 Å, b = 4.358 Å, c = 12.467 Å
α = 79.93°, β = 79.93°, γ = 60.00°
Fractional coordinates of all 4 atoms:
Pb (0.000, 0.000, 0.000)
Cs (0.104, 0.104, 0.688)
Cs (0.896, 0.896, 0.312)
Cl (0.500, 0.500, 0.500)

Computed properties:
E: -2.505 eV/atom
Total moment: 0.000 μB per cell
Formation energy (no corrections): -2.8 eV per formula unit

---

> Among the records above, which one has the lowest E?

CsPb2Cl5